# 1
VASP calculation (GGA-PBE) on crystalline GaGeP2O at its relaxed geometry.

Output
Its energy above the most stable polymorph in this dataset is 0 meV/atom. Its crystal system is tetragonal. The formation energy without anion corrections is 240 meV per atom. The density of states at the Fermi level comes out at 0.46 states/eV per atom. The total energy is -4.44 eV/atom. Its symmetry is P4/mmm, No. 123.

a b c (Å): 4.914 4.914 3.562
angles (deg): 90.00 90.00 90.00
Fractional positions:
1 Ga 0.500 0.500 0.500
2 P 0.000 0.500 0.000
3 O 0.000 0.000 0.500
4 Ge 0.000 0.000 0.000
5 P 0.500 0.000 0.000

# 2
VASP calculation (GGA-PBE) on crystalline Pr2NdZn at its relaxed geometry.

Output
Its energy above the most stable polymorph in this dataset is 106 meV/atom. Its crystal system is tetragonal. The density of states at the Fermi level comes out at 1.67 states/eV per atom. Its formation energy is -38 meV per atom. The total energy is -3.94 eV/atom. Its symmetry is P4/mmm, No. 123.

a b c (Å): 4.902 4.918 4.918
angles (deg): 90.00 90.00 90.00
Fractional positions:
1 Pr 0.000 0.000 0.500
2 Nd 0.500 0.500 0.500
3 Pr 0.000 0.500 0.000
4 Zn 0.500 0.000 0.000

# 3
VASP calculation (GGA-PBE) on crystalline BeAl2CdBr at its relaxed geometry.

Output
Its crystal system is tetragonal. The formation energy without anion corrections is 572 meV per atom. The density of states at the Fermi level comes out at 0.28 states/eV per atom. The total energy is -2.19 eV/atom. Its symmetry is P4/mmm, No. 123.

a b c (Å): 5.223 4.587 5.223
angles (deg): 90.00 90.00 90.00
Fractional positions:
1 Al 0.000 0.000 0.500
2 Br 0.500 0.500 0.500
3 Be 0.000 0.500 0.000
4 Al 0.500 0.000 0.000
5 Cd 0.000 0.000 0.000